1.
MnH2Br2O: relaxed, PBE with a Hubbard U. Values from VASP.

Cell and atoms, written as Quantum ESPRESSO input:
```
&SYSTEM
  ibrav = 0, nat = 12, ntyp = 4
/
ATOMIC_SPECIES
Mn 54.94 Mn.upf
H 1.01 H.upf
Br 79.90 Br.upf
O 16.00 O.upf
ATOMIC_POSITIONS angstrom
Mn 0.000 0.000 0.000
Mn 0.000 0.000 3.276
H 6.209 0.422 4.914
H 7.767 0.422 4.914
H 6.209 -0.422 1.638
H 7.767 -0.422 1.638
Br 5.149 1.611 1.638
Br 8.827 1.611 1.638
Br 5.149 -1.611 4.914
Br 8.827 -1.611 4.914
O 6.988 1.051 4.914
O 6.988 -1.051 1.638
CELL_PARAMETERS angstrom
6.988 -2.710 0.000
6.988 2.710 0.000
0.000 0.000 6.551
```

Summary:
Space group   No. 63
Crystal system   orthorhombic
VASP energy   -4.763 eV/atom

2.
MnH4Br2O2: relaxed, PBE with a Hubbard U. Values from VASP.

Cell and atoms, written as Quantum ESPRESSO input:
```
&SYSTEM
  ibrav = 0, nat = 9, ntyp = 4
/
ATOMIC_SPECIES
Mn 54.94 Mn.upf
H 1.01 H.upf
Br 79.90 Br.upf
O 16.00 O.upf
ATOMIC_POSITIONS angstrom
Mn 0.000 0.000 0.000
H 2.649 1.775 3.308
H 4.683 1.775 0.557
H 2.649 -1.775 3.308
H 4.683 -1.775 0.557
Br 1.412 0.000 2.329
Br 5.920 0.000 1.536
O 4.120 2.362 0.000
O 4.120 -2.362 0.000
CELL_PARAMETERS angstrom
4.120 -4.520 0.000
4.120 4.520 0.000
-0.908 0.000 3.865
```

Summary:
Space group   No. 12
Crystal system   monoclinic
VASP energy   -4.842 eV/atom